Here is an optimized crystal structure of Nd2HoMgO from the Alexandria database. Energies are from PBE.

a b c (Å): 4.6754 5.0942 5.0942
angles (deg): 90.00 90.00 90.00
With the nearest neighbours (Å) after each atom.
Positions (direct):
Nd (0.0000, 0.0000, 0.5000)  2 O 2.55
Nd (0.0000, 0.5000, 0.0000)  2 O 2.55
Ho (0.5000, 0.0000, 0.0000)  2 O 2.34
Mg (0.5000, 0.5000, 0.5000)  8 Nd 3.46, 4 Ho 3.60
O (0.0000, 0.0000, 0.0000)  2 Ho 2.34, 4 Nd 2.55

**Formation energy from raw total energies**: -1189 meV per atom
**Symmetry**: No. 123
**Crystal system**: tetragonal
**Density**: 6.8 g cm⁻³
**M_tot**: 0.00 Bohr magnetons per cell